1.
# HfMn3Mo, relaxed, DFT PBE-GGA
# Total moment   1.10 μB/atom
# Calculated formation energy   1.047 eV per atom
# ρ   8.08 g/cm3
# VASP energy   -8.61 eV/atom
# Relative energy among the computed polymorphs   0.000 eV/atom
data_HfMn3Mo
_chemical_formula_sum 'Hf1 Mn3 Mo1'
_symmetry_space_group_name_H-M 'P m -3 m'
_symmetry_Int_Tables_number 221
_symmetry_space_group_name_Hall '-P 4 2 3'
_cell_length_a 4.4860
_cell_length_b 4.4860
_cell_length_c 4.4860
_cell_angle_alpha 90.00
_cell_angle_beta 90.00
_cell_angle_gamma 90.00
loop_
_atom_site_label
_atom_site_fract_x
_atom_site_fract_y
_atom_site_fract_z
_atom_site_occupancy
Hf1 0.0000 0.0000 0.0000 1
Mn1 0.0000 0.5000 0.5000 1
Mo1 0.5000 0.5000 0.5000 1

2.
# SrSeBr, relaxed, DFT PBE-GGA
# Total moment   0.33 μB/atom
# ρ   4.02 g/cm3
# Formation energy from raw total energies   -30.478 kcal/mol of atoms
# VASP energy   -3.60 eV/atom
data_SrSeBr
_chemical_formula_sum 'Sr4 Se4 Br4'
_symmetry_space_group_name_H-M 'F -4 3 m'
_symmetry_Int_Tables_number 216
_symmetry_space_group_name_Hall 'F -4 2 3'
_cell_length_a 7.4134
_cell_length_b 7.4134
_cell_length_c 7.4134
_cell_angle_alpha 90.00
_cell_angle_beta 90.00
_cell_angle_gamma 90.00
loop_
_atom_site_label
_atom_site_fract_x
_atom_site_fract_y
_atom_site_fract_z
_atom_site_occupancy
Sr1 0.0000 0.0000 0.0000 1
Se1 0.2500 0.2500 0.7500 1
Br1 0.2500 0.2500 0.2500 1

3.
# Y6Sn2PbSe3, relaxed, DFT PBE-GGA
# Total moment   0.00 μB/atom
# ρ   6.12 g/cm3
# Formation energy from raw total energies   -27.901 kcal/mol of atoms
# VASP energy   -6.29 eV/atom
data_Y6Sn2PbSe3
_chemical_formula_sum 'Y12 Sn4 Pb2 Se6'
_symmetry_space_group_name_H-M 'C 1 2/m 1'
_symmetry_Int_Tables_number 12
_cell_length_a 18.6843
_cell_length_b 4.2494
_cell_length_c 8.5832
_cell_angle_alpha 90.00
_cell_angle_beta 104.66
_cell_angle_gamma 90.00
loop_
_symmetry_equiv_pos_as_xyz
'x,y,z'
'-x,-y,-z'
'-x,y,-z'
'x,-y,z'
'x+1/2,y+1/2,z'
'-x+1/2,-y+1/2,-z'
'-x+1/2,y+1/2,-z'
'x+1/2,-y+1/2,z'
loop_
_atom_site_label
_atom_site_fract_x
_atom_site_fract_y
_atom_site_fract_z
_atom_site_occupancy
Y1 0.0021 0.0000 0.2421 1
Y2 0.1656 0.5000 0.0859 1
Y3 0.1700 0.5000 0.5803 1
Sn1 0.1661 0.0000 0.8320 1
Pb1 0.0000 0.5000 0.5000 1
Se1 0.0000 0.5000 0.0000 1
Se2 0.1666 0.0000 0.3325 1

4.
# InGa2Te2, relaxed, DFT PBE-GGA
# Total moment   0.00 μB/atom
# ρ   6.10 g/cm3
# Formation energy from raw total energies   -3.332 kcal/mol of atoms
# VASP energy   -3.16 eV/atom
# Relative energy among the computed polymorphs   0.000 eV/atom
data_InGa2Te2
_chemical_formula_sum 'In2 Ga4 Te4'
_symmetry_space_group_name_H-M 'I 4/m m m'
_symmetry_Int_Tables_number 139
_symmetry_space_group_name_Hall '-I 4 2'
_cell_length_a 5.5515
_cell_length_b 5.5515
_cell_length_c 9.0000
_cell_angle_alpha 90.00
_cell_angle_beta 90.00
_cell_angle_gamma 90.00
loop_
_atom_site_label
_atom_site_fract_x
_atom_site_fract_y
_atom_site_fract_z
_atom_site_occupancy
In1 0.0000 0.0000 0.0000 1
Ga1 0.0000 0.0000 0.3550 1
Te1 0.0000 0.5000 0.2500 1

5.
# SmEr2I, relaxed, DFT PBE-GGA
# Total moment   0.00 μB/atom
# ρ   8.10 g/cm3
# Formation energy from raw total energies   -7.684 kcal/mol of atoms
# VASP energy   -4.18 eV/atom
data_SmEr2I
_chemical_formula_sum 'Sm3 Er6 I3'
_symmetry_space_group_name_H-M 'R -3 m'
_symmetry_Int_Tables_number 166
_symmetry_space_group_name_Hall '-R 3 2"'
_cell_length_a 3.7235
_cell_length_b 3.7235
_cell_length_c 31.3440
_cell_angle_alpha 90.00
_cell_angle_beta 90.00
_cell_angle_gamma 120.00
loop_
_atom_site_label
_atom_site_fract_x
_atom_site_fract_y
_atom_site_fract_z
_atom_site_occupancy
Sm1 0.0000 0.0000 0.0000 1
Er1 0.0000 0.0000 0.2453 1
I1 0.0000 0.0000 0.5000 1

6.
# AcNd3Pt8, relaxed, DFT PBE-GGA
# Total moment   0.00 μB/atom
# Calculated formation energy   -0.983 eV per atom
# ρ   15.07 g/cm3
# VASP energy   -6.54 eV/atom
data_AcNd3Pt8
_chemical_formula_sum 'Ac1 Nd3 Pt8'
_symmetry_space_group_name_H-M 'P 3 m 1'
_symmetry_Int_Tables_number 156
_cell_length_a 5.5565
_cell_length_b 5.5565
_cell_length_c 9.1476
_cell_angle_alpha 90.00
_cell_angle_beta 90.00
_cell_angle_gamma 120.00
loop_
_symmetry_equiv_pos_as_xyz
'x,y,z'
'-y,x-y,z'
'-x+y,-x,z'
'-y,-x,z'
'-x+y,y,z'
'x,x-y,z'
loop_
_atom_site_label
_atom_site_fract_x
_atom_site_fract_y
_atom_site_fract_z
_atom_site_occupancy
Ac1 0.0000 0.0000 0.0000 1
Nd1 0.0000 0.0000 0.3739 1
Nd2 0.6667 0.3333 0.4954 1
Nd3 0.6667 0.3333 0.8612 1
Pt1 0.1658 0.3315 0.6804 1
Pt2 0.3333 0.6667 0.4333 1
Pt3 0.3333 0.6667 0.9333 1
Pt4 0.5017 0.0034 0.1874 1